No. 1
RbNa2Pd | PBE | relaxed

## Properties
Its relative energy among the computed polymorphs is 0.0 meV/atom. The value obtained for the formation energy is 0.041 eV per atom. As for the space group: No. 160.

Cell: 5.0960 5.0960 19.3307 Å, 90.00 90.00 120.00°
Fractional positions:
Rb: 0.0000 0.0000 0.0000
Rb: 0.3333 0.6667 0.6667
Rb: 0.6667 0.3333 0.3333
Na: 0.0000 0.0000 0.5314
Na: 0.0000 0.0000 0.8062
Na: 0.3333 0.6667 0.1980
Na: 0.3333 0.6667 0.4728
Na: 0.6667 0.3333 0.1395
Na: 0.6667 0.3333 0.8647
Pd: 0.0000 0.0000 0.1879
Pd: 0.3333 0.6667 0.8546
Pd: 0.6667 0.3333 0.5212

No. 2
Np2Rh9W | PBE | relaxed

## Properties
The value obtained for the formation energy is -0.344 eV per atom. As for the space group: No. 123.

Cell: 3.9629 3.9629 12.0098 Å, 90.00 90.00 90.00°
Fractional positions:
Np: 0.0000 0.0000 0.1670
Np: 0.0000 0.0000 0.8330
Rh: 0.0000 0.5000 0.0000
Rh: 0.0000 0.5000 0.3462
Rh: 0.0000 0.5000 0.6538
Rh: 0.5000 0.0000 0.0000
Rh: 0.5000 0.0000 0.3462
Rh: 0.5000 0.0000 0.6538
Rh: 0.5000 0.5000 0.1745
Rh: 0.5000 0.5000 0.5000
Rh: 0.5000 0.5000 0.8255
W: 0.0000 0.0000 0.5000

No. 3
AcMgGeF | PBE | relaxed

## Properties
For the formation energy from raw total energies, the calculation gives -1789 meV per atom. As for the space group: No. 129.

Cell: 4.3249 4.3249 9.3340 Å, 90.00 90.00 90.00°
Fractional positions:
Ac: 0.2500 0.2500 0.1722
Ac: 0.7500 0.7500 0.8278
Mg: 0.2500 0.7500 0.5000
Mg: 0.7500 0.2500 0.5000
Ge: 0.2500 0.2500 0.6861
Ge: 0.7500 0.7500 0.3139
F: 0.2500 0.7500 0.0000
F: 0.7500 0.2500 0.0000

No. 4
SrMg2TiCu | PBE | relaxed

## Properties
The value obtained for the formation energy is 1.474 eV per atom. As for the space group: No. 123.

Cell: 5.8139 5.8139 5.1042 Å, 90.00 90.00 90.00°
Fractional positions:
Sr: 0.0000 0.0000 0.0000
Mg: 0.0000 0.5000 0.0000
Mg: 0.5000 0.0000 0.0000
Ti: 0.5000 0.5000 0.5000
Cu: 0.0000 0.0000 0.5000

No. 5
ZrZn2Au2 | PBE | relaxed

## Properties
Its relative energy among the computed polymorphs is 794.0 meV/atom. The value obtained for the formation energy is 0.440 eV per atom. As for the space group: No. 123.

Cell: 4.7023 4.7023 5.1206 Å, 90.00 90.00 90.00°
Fractional positions:
Zr: 0.0000 0.0000 0.0000
Zn: 0.0000 0.5000 0.5000
Zn: 0.5000 0.0000 0.5000
Au: 0.5000 0.5000 0.0000
Au: 0.5000 0.5000 0.5000

No. 6
Ba2CeSnS5 | PBE | relaxed

## Properties
For the formation energy from raw total energies, the calculation gives -1592 meV per atom. As for the space group: No. 36.

Cell: 9.2236 9.2236 13.1382 Å, 90.00 90.00 152.57°
Fractional positions:
Ba: 0.1067 0.8933 0.5000
Ba: 0.1352 0.8648 0.1196
Ba: 0.8648 0.1352 0.6196
Ba: 0.8933 0.1067 0.0000
Ce: 0.2133 0.7867 0.8319
Ce: 0.7867 0.2133 0.3319
Sn: 0.4675 0.5325 0.2732
Sn: 0.5325 0.4675 0.7732
S: 0.0606 0.9394 0.8806
S: 0.2810 0.7190 0.4691
S: 0.3184 0.6816 0.1969
S: 0.3654 0.6346 0.8134
S: 0.4926 0.5074 0.5838
S: 0.5074 0.4926 0.0838
S: 0.6346 0.3654 0.3134
S: 0.6816 0.3184 0.6969
S: 0.7190 0.2810 0.9691
S: 0.9394 0.0606 0.3806

No. 7
Nd2Co | PBE | relaxed

## Properties
The value obtained for the formation energy is 0.030 eV per atom. As for the space group: No. 69.

Cell: 4.9193 4.9271 13.2363 Å, 90.00 90.00 90.00°
Fractional positions:
Nd: 0.0000 0.0000 0.1258
Nd: 0.0000 0.0000 0.8742
Nd: 0.0000 0.5000 0.3743
Nd: 0.0000 0.5000 0.6258
Nd: 0.5000 0.0000 0.3743
Nd: 0.5000 0.0000 0.6258
Nd: 0.5000 0.5000 0.1258
Nd: 0.5000 0.5000 0.8742
Co: 0.0000 0.0000 0.5000
Co: 0.0000 0.5000 0.0000
Co: 0.5000 0.0000 0.0000
Co: 0.5000 0.5000 0.5000

No. 8
Ac3TcO7 | PBE | relaxed

## Properties
For the formation energy from raw total energies, the calculation gives -2781 meV per atom. As for the space group: No. 63.

Cell: 6.9689 6.9689 7.9073 Å, 90.00 90.00 67.09°
Fractional positions:
Ac: 0.0000 0.0000 0.0000
Ac: 0.0000 0.0000 0.5000
Ac: 0.0996 0.4638 0.7500
Ac: 0.4638 0.0996 0.2500
Ac: 0.5362 0.9004 0.7500
Ac: 0.9004 0.5362 0.2500
Tc: 0.5000 0.5000 0.0000
Tc: 0.5000 0.5000 0.5000
O: 0.0972 0.1628 0.2500
O: 0.1628 0.0972 0.7500
O: 0.1999 0.5571 0.0386
O: 0.1999 0.5571 0.4614
O: 0.4304 0.5696 0.7500
O: 0.4429 0.8001 0.0386
O: 0.4429 0.8001 0.4614
O: 0.5571 0.1999 0.5386
O: 0.5571 0.1999 0.9614
O: 0.5696 0.4304 0.2500
O: 0.8001 0.4429 0.5386
O: 0.8001 0.4429 0.9614
O: 0.8372 0.9028 0.2500
O: 0.9028 0.8372 0.7500

No. 9
Sr4TlGa | PBE | relaxed

## Properties
Its relative energy among the computed polymorphs is 44.0 meV/atom. The value obtained for the formation energy is -0.245 eV per atom. As for the space group: No. 15.

Cell: 9.2981 9.2981 7.5976 Å, 109.49 109.49 110.27°
Fractional positions:
Sr: 0.0510 0.6872 0.9077
Sr: 0.2567 0.3679 0.7531
Sr: 0.3128 0.9490 0.5923
Sr: 0.3679 0.2567 0.2531
Sr: 0.6321 0.7433 0.7469
Sr: 0.6872 0.0510 0.4077
Sr: 0.7433 0.6321 0.2469
Sr: 0.9490 0.3128 0.0923
Tl: 0.0081 0.9919 0.7500
Tl: 0.9919 0.0081 0.2500
Ga: 0.3641 0.6359 0.2500
Ga: 0.6359 0.3641 0.7500

No. 10
K2TmCl6 | PBE | relaxed

## Properties
For the formation energy from raw total energies, the calculation gives -1762 meV per atom. As for the space group: No. 38.

Cell: 4.2496 8.0609 8.0609 Å, 120.08 90.00 90.00°
Fractional positions:
K: 0.0000 0.1669 0.8331
K: 0.0000 0.8331 0.1669
Tm: 0.5000 0.5008 0.5008
Cl: 0.0000 0.2684 0.5002
Cl: 0.0000 0.5002 0.2684
Cl: 0.0000 0.7328 0.7328
Cl: 0.5000 0.1536 0.1536
Cl: 0.5000 0.5001 0.8473
Cl: 0.5000 0.8473 0.5001

No. 11
TaN | PBE | relaxed

## Properties
For the formation energy from raw total energies, the calculation gives -1182 meV per atom. As for the space group: No. 189.

Cell: 5.2312 5.2312 2.9272 Å, 90.00 90.00 120.00°
Fractional positions:
Ta: 0.0000 0.0000 0.0000
Ta: 0.3333 0.6667 0.5000
Ta: 0.6667 0.3333 0.5000
N: 0.0000 0.3925 0.0000
N: 0.3925 0.0000 0.0000
N: 0.6075 0.6075 0.0000

No. 12
LiAgPt3 | PBE | relaxed

## Properties
The value obtained for the formation energy is 0.435 eV per atom. As for the space group: No. 221.

Cell: 4.2815 4.2815 4.2815 Å, 90.00 90.00 90.00°
Fractional positions:
Li: 0.0000 0.0000 0.0000
Ag: 0.5000 0.5000 0.5000
Pt: 0.0000 0.0000 0.5000
Pt: 0.0000 0.5000 0.0000
Pt: 0.5000 0.0000 0.0000

No. 13
La2PtAu | PBE | relaxed

## Properties
The value obtained for the formation energy is -0.931 eV per atom. As for the space group: No. 10.

Cell: 3.7299 3.7110 7.4482 Å, 90.00 90.04 90.00°
Fractional positions:
La: 0.0015 0.0000 0.2625
La: 0.9985 0.0000 0.7375
Pt: 0.5000 0.5000 0.5000
Au: 0.5000 0.5000 0.0000

No. 14
Li5SO4F2 | PBE | relaxed

## Properties
For the formation energy from raw total energies, the calculation gives -1997 meV per atom. As for the space group: No. 38.

Cell: 6.1304 4.7645 4.7645 Å, 114.84 90.00 90.00°
Fractional positions:
Li: 0.0000 0.0000 0.0000
Li: 0.2210 0.2859 0.6828
Li: 0.2210 0.6828 0.2859
Li: 0.7790 0.2859 0.6828
Li: 0.7790 0.6828 0.2859
S: 0.5000 0.1494 0.1494
O: 0.2360 0.2495 0.2495
O: 0.5000 0.1283 0.8179
O: 0.5000 0.8179 0.1283
O: 0.7640 0.2495 0.2495
F: 0.0000 0.5826 0.9444
F: 0.0000 0.9444 0.5826

No. 15
RbLiBr2 | PBE | relaxed

## Properties
For the formation energy from raw total energies, the calculation gives -1559 meV per atom. As for the space group: No. 166.

Cell: 4.3335 4.3335 22.6280 Å, 90.00 90.00 120.00°
Fractional positions:
Rb: 0.0000 0.0000 0.0000
Rb: 0.3333 0.6667 0.6667
Rb: 0.6667 0.3333 0.3333
Li: 0.0000 0.0000 0.5000
Li: 0.3333 0.6667 0.1667
Li: 0.6667 0.3333 0.8333
Br: 0.0000 0.0000 0.2321
Br: 0.0000 0.0000 0.7679
Br: 0.3333 0.6667 0.4346
Br: 0.3333 0.6667 0.8987
Br: 0.6667 0.3333 0.1013
Br: 0.6667 0.3333 0.5654

No. 16
LaBePdRh2 | PBE | relaxed

## Properties
The value obtained for the formation energy is -0.630 eV per atom. As for the space group: No. 123.

Cell: 4.3699 4.3699 4.3665 Å, 90.00 90.00 90.00°
Fractional positions:
La: 0.0000 0.0000 0.0000
Be: 0.5000 0.5000 0.5000
Pd: 0.5000 0.5000 0.0000
Rh: 0.0000 0.5000 0.5000
Rh: 0.5000 0.0000 0.5000

No. 17
NaTcPt | PBE | relaxed

## Properties
Its relative energy among the computed polymorphs is 79.3 meV/atom. The value obtained for the formation energy is 0.127 eV per atom. As for the space group: No. 62.

Cell: 7.5379 3.8507 7.5887 Å, 90.00 90.00 90.00°
Fractional positions:
Na: 0.0205 0.2500 0.1352
Na: 0.4795 0.7500 0.6352
Na: 0.5205 0.2500 0.3648
Na: 0.9795 0.7500 0.8648
Tc: 0.0937 0.2500 0.5352
Tc: 0.4063 0.7500 0.0352
Tc: 0.5937 0.2500 0.9648
Tc: 0.9063 0.7500 0.4648
Pt: 0.2284 0.7500 0.3226
Pt: 0.2716 0.2500 0.8226
Pt: 0.7284 0.7500 0.1774
Pt: 0.7716 0.2500 0.6774

No. 18
Np6CoS12 | PBE | relaxed

## Properties
For the formation energy from raw total energies, the calculation gives -1206 meV per atom. As for the space group: No. 148.

Cell: 7.6376 7.6376 7.6376 Å, 100.07 100.07 100.07°
Fractional positions:
Np: 0.1220 0.7918 0.6310
Np: 0.2082 0.3690 0.8780
Np: 0.3690 0.8780 0.2082
Np: 0.6310 0.1220 0.7918
Np: 0.7918 0.6310 0.1220
Np: 0.8780 0.2082 0.3690
Co: 0.5000 0.5000 0.5000
S: 0.0682 0.9220 0.3243
S: 0.0780 0.6757 0.9318
S: 0.1992 0.4419 0.5359
S: 0.3243 0.0682 0.9220
S: 0.4419 0.5359 0.1992
S: 0.4641 0.8008 0.5581
S: 0.5359 0.1992 0.4419
S: 0.5581 0.4641 0.8008
S: 0.6757 0.9318 0.0780
S: 0.8008 0.5581 0.4641
S: 0.9220 0.3243 0.0682
S: 0.9318 0.0780 0.6757

No. 19
LiCdIrCl6 | PBE | relaxed

## Properties
For the formation energy from raw total energies, the calculation gives -938 meV per atom. As for the space group: No. 163.

Cell: 6.4911 6.4911 11.4522 Å, 90.00 90.00 120.00°
Fractional positions:
Li: 0.0000 0.0000 0.0000
Li: 0.0000 0.0000 0.5000
Cd: 0.3333 0.6667 0.2500
Cd: 0.6667 0.3333 0.7500
Ir: 0.3333 0.6667 0.7500
Ir: 0.6667 0.3333 0.2500
Cl: 0.0343 0.3692 0.6308
Cl: 0.0343 0.6651 0.8692
Cl: 0.3349 0.3692 0.8692
Cl: 0.3349 0.9657 0.6308
Cl: 0.3692 0.0343 0.1308
Cl: 0.3692 0.3349 0.3692
Cl: 0.6308 0.6651 0.6308
Cl: 0.6308 0.9657 0.8692
Cl: 0.6651 0.0343 0.3692
Cl: 0.6651 0.6308 0.1308
Cl: 0.9657 0.3349 0.1308
Cl: 0.9657 0.6308 0.3692

No. 20
PrTmPu2As4 | PBE | relaxed

## Properties
The value obtained for the formation energy is -1.246 eV per atom. As for the space group: No. 10.

Cell: 7.1797 4.1706 7.2212 Å, 90.00 109.58 90.00°
Fractional positions:
Pr: 0.0000 0.0000 0.0000
Tm: 0.0000 0.5000 0.5000
Pu: 0.5000 0.0000 0.5000
Pu: 0.5000 0.5000 0.0000
As: 0.2539 0.0000 0.7439
As: 0.2595 0.5000 0.2607
As: 0.7405 0.5000 0.7393
As: 0.7461 0.0000 0.2561

No. 21
AcNdGdAg | PBE | relaxed

## Properties
The value obtained for the formation energy is 0.150 eV per atom. As for the space group: No. 216.

Cell: 7.9407 7.9407 7.9407 Å, 90.00 90.00 90.00°
Fractional positions:
Ac: 0.0000 0.0000 0.0000
Ac: 0.0000 0.5000 0.5000
Ac: 0.5000 0.0000 0.5000
Ac: 0.5000 0.5000 0.0000
Nd: 0.2500 0.2500 0.2500
Nd: 0.2500 0.7500 0.7500
Nd: 0.7500 0.2500 0.7500
Nd: 0.7500 0.7500 0.2500
Gd: 0.2500 0.2500 0.7500
Gd: 0.2500 0.7500 0.2500
Gd: 0.7500 0.2500 0.2500
Gd: 0.7500 0.7500 0.7500
Ag: 0.0000 0.0000 0.5000
Ag: 0.0000 0.5000 0.0000
Ag: 0.5000 0.0000 0.0000
Ag: 0.5000 0.5000 0.5000

No. 22
NaTl16Sn12 | PBE | relaxed

## Properties
The value obtained for the formation energy is -0.015 eV per atom. As for the space group: No. 8.

Cell: 10.4241 10.4241 10.4205 Å, 109.27 109.27 109.24°
Fractional positions:
Na: 0.0000 0.0000 0.0000
Tl: 0.0375 0.0375 0.6404
Tl: 0.0795 0.6788 0.9671
Tl: 0.0806 0.3650 0.2849
Tl: 0.2843 0.2843 0.5736
Tl: 0.2844 0.9686 0.8888
Tl: 0.3258 0.6849 0.2887
Tl: 0.3650 0.0806 0.2849
Tl: 0.3648 0.6793 0.6844
Tl: 0.3943 0.9988 0.6019
Tl: 0.6788 0.0795 0.9671
Tl: 0.6793 0.3648 0.6844
Tl: 0.6824 0.6824 0.2856
Tl: 0.6849 0.3258 0.2887
Tl: 0.6856 0.6856 0.9303
Tl: 0.9686 0.2844 0.8888
Tl: 0.9988 0.3943 0.6019
Sn: 0.0473 0.8683 0.2850
Sn: 0.0482 0.6814 0.4723
Sn: 0.3193 0.5059 0.9256
Sn: 0.3219 0.3219 0.1125
Sn: 0.4982 0.4982 0.4664
Sn: 0.4982 0.8615 0.1026
Sn: 0.5059 0.3193 0.9256
Sn: 0.6814 0.0482 0.4723
Sn: 0.6812 0.8666 0.6499
Sn: 0.8615 0.4982 0.1026
Sn: 0.8666 0.6812 0.6499
Sn: 0.8683 0.0473 0.2850